[1]
The following is a PBE calculation of an optimized crystal structure of Pu5SnPd4, from the Alexandria database.

Lattice parameters (Å, degrees): 8.1038 8.1038 6.9662 112.31 112.31 32.21
Element x y z (fractional)
Pu1 0.0000 0.0000 0.0000
Pu2 0.3250 0.3250 0.8512
Pu3 0.3279 0.3279 0.2596
Pu4 0.6721 0.6721 0.7404
Pu5 0.6750 0.6750 0.1488
Sn1 0.0000 0.0000 0.5000
Pd1 0.1717 0.1717 0.4308
Pd2 0.4716 0.4716 0.7024
Pd3 0.5284 0.5284 0.2976
Pd4 0.8283 0.8283 0.5692

Summary:
Symmetry: No. 12
Energy of formation, eV per atom: -0.20

[2]
The following is a PBE calculation of an optimized crystal structure of Pu2SnPd6, from the Alexandria database.

Lattice parameters (Å, degrees): 5.7036 5.7036 6.3606 101.77 101.77 60.65
Element x y z (fractional)
Pu1 0.1459 0.1459 0.3405
Pu2 0.8541 0.8541 0.6595
Sn1 0.5000 0.5000 0.5000
Pd1 0.1080 0.6338 0.1703
Pd2 0.3662 0.8920 0.8297
Pd3 0.3682 0.3682 0.8085
Pd4 0.6318 0.6318 0.1915
Pd5 0.6338 0.1080 0.1703
Pd6 0.8920 0.3662 0.8297

Summary:
Symmetry: No. 12
Energy of formation, eV per atom: -0.49

[3]
The following is a PBE calculation of an optimized crystal structure of Pu2Sn2Pd3, from the Alexandria database.

Lattice parameters (Å, degrees): 7.5155 7.5155 7.5155 109.47 109.47 109.47
Element x y z (fractional)
Pu1 0.0000 0.0025 0.5000
Pu2 0.0025 0.5000 0.0000
Pu3 0.4975 0.4975 0.4975
Pu4 0.5000 0.0000 0.0025
Sn1 0.0000 0.5981 0.5000
Sn2 0.5000 0.0000 0.5981
Sn3 0.5981 0.5000 0.0000
Sn4 0.9019 0.9019 0.9019
Pd1 0.0189 0.2500 0.2689
Pd2 0.2311 0.4811 0.7500
Pd3 0.2500 0.2689 0.0189
Pd4 0.2689 0.0189 0.2500
Pd5 0.4811 0.7500 0.2311
Pd6 0.7500 0.2311 0.4811

Summary:
Symmetry: No. 199
Energy of formation, eV per atom: -0.41

[4]
The following is a PBE calculation of an optimized crystal structure of TbPuSnPd, from the Alexandria database.

Lattice parameters (Å, degrees): 5.2006 5.2006 5.2006 60.00 60.00 60.00
Element x y z (fractional)
Tb1 0.0000 0.0000 0.0000
Pu1 0.5000 0.5000 0.5000
Sn1 0.2500 0.2500 0.2500
Pd1 0.7500 0.7500 0.7500

Summary:
Symmetry: No. 216
Energy of formation, eV per atom: -0.48

[5]
The following is a PBE calculation of an optimized crystal structure of Pu2ThSn2Pd2, from the Alexandria database.

Lattice parameters (Å, degrees): 9.1525 9.1525 9.1525 29.59 29.59 29.59
Element x y z (fractional)
Pu1 0.1407 0.1407 0.1407
Pu2 0.8593 0.8593 0.8593
Th1 0.0000 0.0000 0.0000
Sn1 0.2645 0.2645 0.2645
Sn2 0.7355 0.7355 0.7355
Pd1 0.4255 0.4255 0.4255
Pd2 0.5745 0.5745 0.5745

Summary:
Symmetry: No. 166
Energy of formation, eV per atom: -0.52

[6]
The following is a PBE calculation of an optimized crystal structure of SrPu2Pd3, from the Alexandria database.

Lattice parameters (Å, degrees): 3.5803 3.5803 10.9224 90.00 90.00 90.00
Element x y z (fractional)
Sr1 0.0000 0.0000 0.0000
Pu1 0.0000 0.0000 0.3425
Pu2 0.0000 0.0000 0.6575
Pd1 0.5000 0.5000 0.1962
Pd2 0.5000 0.5000 0.5000
Pd3 0.5000 0.5000 0.8038

Summary:
Symmetry: No. 123
Energy of formation, eV per atom: -0.45

[7]
The following is a PBE calculation of an optimized crystal structure of Sr3PuPd8, from the Alexandria database.

Lattice parameters (Å, degrees): 9.6411 9.6411 9.6411 33.65 33.65 33.65
Element x y z (fractional)
Sr1 0.0000 0.0000 0.0000
Sr2 0.1249 0.1249 0.1249
Sr3 0.6253 0.6253 0.6253
Pu1 0.5003 0.5003 0.5003
Pd1 0.0618 0.0618 0.5595
Pd2 0.0618 0.5595 0.0618
Pd3 0.0673 0.5629 0.5629
Pd4 0.3127 0.3127 0.3127
Pd5 0.5595 0.0618 0.0618
Pd6 0.5629 0.0673 0.5629
Pd7 0.5629 0.5629 0.0673
Pd8 0.8131 0.8131 0.8131

Summary:
Symmetry: No. 160
Energy of formation, eV per atom: -0.57

[8]
The following is a PBE calculation of an optimized crystal structure of SrPuTlPd, from the Alexandria database.

Lattice parameters (Å, degrees): 5.3719 5.3719 5.3719 60.00 60.00 60.00
Element x y z (fractional)
Sr1 0.0000 0.0000 0.0000
Pu1 0.5000 0.5000 0.5000
Tl1 0.7500 0.7500 0.7500
Pd1 0.2500 0.2500 0.2500

Summary:
Symmetry: No. 216
Energy of formation, eV per atom: -0.17

[9]
The following is a PBE calculation of an optimized crystal structure of PuTaPd6, from the Alexandria database.

Lattice parameters (Å, degrees): 4.0599 4.0599 8.1764 90.00 90.00 90.00
Element x y z (fractional)
Pu1 0.0000 0.0000 0.0000
Ta1 0.0000 0.0000 0.5000
Pd1 0.0000 0.5000 0.2702
Pd2 0.0000 0.5000 0.7298
Pd3 0.5000 0.0000 0.2702
Pd4 0.5000 0.0000 0.7298
Pd5 0.5000 0.5000 0.0000
Pd6 0.5000 0.5000 0.5000

Summary:
Symmetry: No. 123
Energy of formation, eV per atom: -0.49

[10]
The following is a PBE calculation of an optimized crystal structure of PuTaPd14, from the Alexandria database.

Lattice parameters (Å, degrees): 5.7445 5.7445 7.7789 90.00 90.00 90.00
Element x y z (fractional)
Pu1 0.0000 0.0000 0.0000
Ta1 0.5000 0.5000 0.0000
Pd1 0.0000 0.0000 0.5000
Pd2 0.0000 0.5000 0.0000
Pd3 0.0000 0.5000 0.5000
Pd4 0.2562 0.2562 0.2482
Pd5 0.2562 0.2562 0.7518
Pd6 0.2562 0.7438 0.2482
Pd7 0.2562 0.7438 0.7518
Pd8 0.5000 0.0000 0.0000
Pd9 0.5000 0.0000 0.5000
Pd10 0.5000 0.5000 0.5000
Pd11 0.7438 0.2562 0.2482
Pd12 0.7438 0.2562 0.7518
Pd13 0.7438 0.7438 0.2482
Pd14 0.7438 0.7438 0.7518

Summary:
Symmetry: No. 123
Energy of formation, eV per atom: -0.28

[11]
The following is a PBE calculation of an optimized crystal structure of Pu3TaPd12, from the Alexandria database.

Lattice parameters (Å, degrees): 4.1025 4.1025 16.4796 90.00 90.00 90.00
Element x y z (fractional)
Pu1 0.0000 0.0000 0.0000
Pu2 0.0000 0.0000 0.2523
Pu3 0.0000 0.0000 0.7477
Ta1 0.0000 0.0000 0.5000
Pd1 0.0000 0.5000 0.1276
Pd2 0.0000 0.5000 0.3876
Pd3 0.0000 0.5000 0.6124
Pd4 0.0000 0.5000 0.8724
Pd5 0.5000 0.0000 0.1276
Pd6 0.5000 0.0000 0.3876
Pd7 0.5000 0.0000 0.6124
Pd8 0.5000 0.0000 0.8724
Pd9 0.5000 0.5000 0.0000
Pd10 0.5000 0.5000 0.2593
Pd11 0.5000 0.5000 0.5000
Pd12 0.5000 0.5000 0.7407

Summary:
Symmetry: No. 123
Energy of formation, eV per atom: -0.53

[12]
The following is a PBE calculation of an optimized crystal structure of TbPuPd4, from the Alexandria database.

Lattice parameters (Å, degrees): 3.9632 3.9632 8.5355 90.00 90.00 90.00
Element x y z (fractional)
Tb1 0.0000 0.0000 0.0000
Pu1 0.5000 0.5000 0.5000
Pd1 0.0000 0.5000 0.2494
Pd2 0.0000 0.5000 0.7506
Pd3 0.5000 0.0000 0.2494
Pd4 0.5000 0.0000 0.7506

Summary:
Symmetry: No. 123
Energy of formation, eV per atom: -0.49